# 1
# Tc2HgW GGA-PBE relaxed
# * calculated density: 14.36 g cm⁻³
# * energy: -8.16 eV/atom
data_Tc2HgW
_chemical_formula_sum 'Tc2 Hg1 W1'
_cell_length_a 3.119
_cell_length_b 3.119
_cell_length_c 6.899
_cell_angle_alpha 90.00
_cell_angle_beta 90.00
_cell_angle_gamma 90.00
_space_group_name_H-M_alt 'P 4/m m m'
_space_group_IT_number 123
_space_group_name_Hall '-P 4 2'
loop_
_atom_site_label
_atom_site_type_symbol
_atom_site_fract_x
_atom_site_fract_y
_atom_site_fract_z
Tc1 Tc 0.000 0.000 0.216
Hg1 Hg 0.500 0.500 0.500
W1 W 0.500 0.500 0.000

---

# 2
# Ac14ErTm GGA-PBE relaxed
# * calculated density: 8.47 g cm⁻³
# * energy: -4.13 eV/atom
data_Ac14ErTm
_chemical_formula_sum 'Ac28 Er2 Tm2'
_cell_length_a 11.170
_cell_length_b 11.103
_cell_length_c 11.106
_cell_angle_alpha 90.00
_cell_angle_beta 90.00
_cell_angle_gamma 90.00
_space_group_name_H-M_alt 'A m m 2'
_space_group_IT_number 38
_space_group_name_Hall 'A 2 -2'
loop_
_atom_site_label
_atom_site_type_symbol
_atom_site_fract_x
_atom_site_fract_y
_atom_site_fract_z
Ac1 Ac 0.000 0.000 0.000
Ac2 Ac 0.000 0.000 0.500
Ac3 Ac 0.000 0.250 0.250
Ac4 Ac 0.256 0.000 0.250
Ac5 Ac 0.257 0.000 0.750
Ac6 Ac 0.257 0.250 0.000
Ac7 Ac 0.500 0.250 0.250
Er1 Er 0.500 0.000 0.500
Tm1 Tm 0.500 0.000 0.000

---

# 3
# Zn2PSe GGA-PBE relaxed
# * calculated density: 5.24 g cm⁻³
# * energy: -2.67 eV/atom
# * formation energy from raw total energies: 0.1945 eV/atom
data_Zn2PSe
_chemical_formula_sum 'Zn4 P2 Se2'
_cell_length_a 3.607
_cell_length_b 5.882
_cell_length_c 7.196
_cell_angle_alpha 90.00
_cell_angle_beta 90.00
_cell_angle_gamma 90.00
_space_group_name_H-M_alt 'I m m m'
_space_group_IT_number 71
_space_group_name_Hall '-I 2 2'
loop_
_atom_site_label
_atom_site_type_symbol
_atom_site_fract_x
_atom_site_fract_y
_atom_site_fract_z
Zn1 Zn 0.000 0.000 0.235
P1 P 0.000 0.500 0.500
Se1 Se 0.000 0.500 0.000

---

# 4
# Nd3Mg2Tl6 GGA-PBE relaxed
# * calculated density: 9.02 g cm⁻³
# * energy: -3.06 eV/atom
data_Nd3Mg2Tl6
_chemical_formula_sum 'Nd6 Mg4 Tl12'
_cell_length_a 4.735
_cell_length_b 4.735
_cell_length_c 28.044
_cell_angle_alpha 90.00
_cell_angle_beta 90.00
_cell_angle_gamma 90.00
_space_group_name_H-M_alt 'I 4/m m m'
_space_group_IT_number 139
_space_group_name_Hall '-I 4 2'
loop_
_atom_site_label
_atom_site_type_symbol
_atom_site_fract_x
_atom_site_fract_y
_atom_site_fract_z
Nd1 Nd 0.000 0.000 0.000
Nd2 Nd 0.000 0.000 0.195
Mg1 Mg 0.000 0.000 0.452
Tl1 Tl 0.000 0.000 0.308
Tl2 Tl 0.000 0.500 0.107

---

# 5
# Ti2AlPb3O9 GGA-PBE relaxed
# * calculated density: 8.13 g cm⁻³
# * energy: -7.13 eV/atom
# * formation energy from raw total energies: -2.1108 eV/atom
data_Ti2AlPb3O9
_chemical_formula_sum 'Ti2 Al1 Pb3 O9'
_cell_length_a 5.5503
_cell_length_b 5.5503
_cell_length_c 6.8014
_cell_angle_alpha 90.00
_cell_angle_beta 90.00
_cell_angle_gamma 120.00
_space_group_name_H-M_alt 'P -3 m 1'
_space_group_IT_number 164
_space_group_name_Hall '-P 3 2"'
loop_
_atom_site_label
_atom_site_type_symbol
_atom_site_fract_x
_atom_site_fract_y
_atom_site_fract_z
Ti1 Ti 0.3333 0.6667 0.1798
Al1 Al 0.0000 0.0000 0.5000
Pb1 Pb 0.0000 0.0000 0.0000
Pb2 Pb 0.3333 0.6667 0.6731
O1 O 0.0000 0.5000 0.0000
O2 O 0.1640 0.3280 0.3362

---

# 6
# ZrZnHPd2 GGA-PBE relaxed
# * calculated density: 8.79 g cm⁻³
# * energy: -5.03 eV/atom
data_ZrZnHPd2
_chemical_formula_sum 'Zr1 Zn1 H1 Pd2'
_cell_length_a 4.052
_cell_length_b 4.052
_cell_length_c 4.265
_cell_angle_alpha 90.00
_cell_angle_beta 90.00
_cell_angle_gamma 90.00
_space_group_name_H-M_alt 'P 4/m m m'
_space_group_IT_number 123
_space_group_name_Hall '-P 4 2'
loop_
_atom_site_label
_atom_site_type_symbol
_atom_site_fract_x
_atom_site_fract_y
_atom_site_fract_z
Zr1 Zr 0.000 0.000 0.000
Zn1 Zn 0.500 0.500 0.000
H1 H 0.000 0.000 0.500
Pd1 Pd 0.000 0.500 0.500